# Tb8PmPr6

A relaxed structure of Tb8PmPr6 (PBE-GGA, Alexandria via LeMat-Bulk).

abc: 9.200 9.200 8.798
angles: 58.47 58.47 60.00
Fractional coordinates of all 15 atoms:
1 Tb 0.250 0.284 0.578
2 Tb 0.716 0.112 0.422
3 Tb 0.112 0.750 0.422
4 Tb 0.577 0.577 0.270
5 Tb 0.423 0.423 0.730
6 Tb 0.888 0.250 0.578
7 Tb 0.284 0.888 0.578
8 Tb 0.750 0.716 0.422
9 Pm 0.000 0.000 0.000
10 Pr 0.463 0.898 0.870
11 Pr 0.102 0.231 0.130
12 Pr 0.231 0.537 0.130
13 Pr 0.769 0.463 0.870
14 Pr 0.898 0.769 0.870
15 Pr 0.537 0.102 0.130

Computed properties:
ΔE_f: 119 meV/atom
SG: R-3 (148)
DFT total energy: -4.58 eV/atom
Spin magnetization: 0.0 μB/f.u.